4
Lattice="2.5481 0.0000 0.0000 0.0000 3.5790 0.0000 -1.2577 0.0000 4.8726" Properties=species:S:1:pos:R:3 comment="BeZn2Co (PBEsol, relaxed)" e_form_ev_per_atom=-0.0218 magmom_total_mub_per_atom=0.0002 pbc="T T T"
Be 0.0000 0.0000 0.0000
Zn -0.0321 0.0000 2.1877
Zn 1.2406 1.7895 3.4756
Co 1.2501 1.7895 0.7934